# 1
DFT (PBE) results for an optimized crystal structure of Pm2SeI2.

Values from the calculation:
As for the total energy: -4.797 eV/atom. The calculation puts the density at 5.715 Mg/m³. The calculation puts the total magnetic moment at 0.0 μB/f.u. The value obtained for the uncorrected formation energy is -1580 meV/atom. The calculated volume is 180.94 Å³ per cell.

Cell: 4.302 4.302 11.560 Å, 79.28 79.28 60.00°
Fractional coordinates of all 5 atoms:
Pm1 0.622 0.622 0.135
Pm2 0.378 0.378 0.865
Se1 0.000 0.000 0.000
I1 0.228 0.228 0.317
I2 0.772 0.772 0.683


# 2
DFT (PBE) results for an optimized crystal structure of Pm3SeI3.

Values from the calculation:
As for the total energy: -4.561 eV/atom. The calculation puts the density at 6.346 Mg/m³. The calculation puts the total magnetic moment at 0.0 μB/f.u. The value obtained for the uncorrected formation energy is -1363 meV/atom. The calculated volume is 936.42 Å³ per cell.

Cell: 10.675 10.675 10.675 Å, 109.47 109.47 109.47°
Fractional coordinates of all 28 atoms:
Pm1 0.963 0.481 0.231
Pm2 0.519 0.037 0.269
Pm3 0.250 0.019 0.481
Pm4 0.981 0.750 0.019
Pm5 0.981 0.231 0.463
Pm6 0.769 0.019 0.037
Pm7 0.731 0.463 0.481
Pm8 0.769 0.750 0.231
Pm9 0.537 0.269 0.019
Pm10 0.250 0.231 0.269
Pm11 0.731 0.269 0.750
Pm12 0.519 0.481 0.750
Se1 0.750 0.500 0.000
Se2 0.500 0.250 0.500
Se3 0.750 0.250 0.250
Se4 0.000 0.000 0.250
I1 0.242 0.992 0.984
I2 0.750 0.758 0.742
I3 0.484 0.742 0.992
I4 0.008 0.250 0.992
I5 0.258 0.742 0.250
I6 0.492 0.508 0.250
I7 0.242 0.250 0.758
I8 0.258 0.516 0.508
I9 0.750 0.992 0.508
I10 0.016 0.508 0.758
I11 0.008 0.758 0.516
I12 0.492 0.984 0.742


# 3
DFT (PBE) results for an optimized crystal structure of Pm4Se3I.

Values from the calculation:
As for the total energy: -5.467 eV/atom. The calculation puts the density at 7.074 Mg/m³. The calculation puts the total magnetic moment at 0.0 μB/f.u. The value obtained for the uncorrected formation energy is -1591 meV/atom. The calculated volume is 443.07 Å³ per cell.

Cell: 4.197 4.197 29.051 Å, 90.00 90.00 120.00°
Fractional coordinates of all 16 atoms:
I1 0.667 0.333 0.750
I2 0.333 0.667 0.250
Se1 0.000 0.000 0.000
Se2 0.000 0.000 0.500
Se3 0.333 0.667 0.883
Se4 0.667 0.333 0.117
Se5 0.667 0.333 0.383
Se6 0.333 0.667 0.617
Pm1 0.667 0.333 0.938
Pm2 0.333 0.667 0.062
Pm3 0.333 0.667 0.438
Pm4 0.667 0.333 0.562
Pm5 0.000 0.000 0.828
Pm6 0.000 0.000 0.172
Pm7 0.000 0.000 0.328
Pm8 0.000 0.000 0.672


# 4
DFT (PBE) results for an optimized crystal structure of Pm3SeI7.

Values from the calculation:
As for the total energy: -4.070 eV/atom. The calculation puts the density at 4.392 Mg/m³. The calculation puts the total magnetic moment at 0.0 μB/f.u. The value obtained for the uncorrected formation energy is -1471 meV/atom. The calculated volume is 530.16 Å³ per cell.

Cell: 7.676 8.930 8.930 Å, 120.00 90.00 90.00°
Fractional coordinates of all 11 atoms:
Pm1 0.772 0.492 0.508
Pm2 0.772 0.492 0.984
Pm3 0.772 0.016 0.508
Se1 0.586 0.333 0.667
I1 0.016 0.168 0.832
I2 0.016 0.168 0.337
I3 0.015 0.667 0.333
I4 0.550 0.830 0.170
I5 0.550 0.340 0.170
I6 0.550 0.830 0.660
I7 0.016 0.663 0.832


# 5
DFT (PBE) results for an optimized crystal structure of Pm4SeI5.

Values from the calculation:
As for the total energy: -4.385 eV/atom. The calculation puts the density at 5.974 Mg/m³. The calculation puts the total magnetic moment at 0.0 μB/f.u. The value obtained for the uncorrected formation energy is -1361 meV/atom. The calculated volume is 359.52 Å³ per cell.

Cell: 4.248 8.995 9.898 Å, 102.99 102.39 90.00°
Fractional coordinates of all 10 atoms:
Pm1 0.648 0.068 0.296
Pm2 0.998 0.211 0.996
Pm3 0.352 0.932 0.704
Pm4 0.002 0.789 0.004
Se1 0.500 0.000 0.000
I1 0.165 0.335 0.330
I2 0.173 0.817 0.346
I3 0.827 0.183 0.654
I4 0.500 0.500 0.000
I5 0.835 0.665 0.670


# 6
DFT (PBE) results for an optimized crystal structure of Pm8Si3SeI4.

Values from the calculation:
As for the total energy: -5.073 eV/atom. The calculation puts the density at 6.234 Mg/m³. The calculation puts the total magnetic moment at 0.0 μB/f.u. The value obtained for the uncorrected formation energy is -1075 meV/atom. The calculated volume is 487.66 Å³ per cell.

Cell: 8.593 9.100 8.592 Å, 118.18 120.00 90.00°
Fractional coordinates of all 16 atoms:
Pm1 0.237 0.695 0.958
Pm2 0.237 0.695 0.473
Pm3 0.268 0.304 0.536
Pm4 0.722 0.695 0.958
Pm5 0.278 0.305 0.042
Pm6 0.732 0.696 0.464
Pm7 0.763 0.305 0.527
Pm8 0.763 0.305 0.042
Si1 0.500 0.500 0.000
Si2 0.500 0.500 0.500
Si3 0.000 0.500 0.500
Se1 0.000 0.500 0.000
I1 0.500 0.000 0.000
I2 0.500 0.000 0.500
I3 0.000 0.000 0.000
I4 0.000 0.000 0.500


# 7
DFT (PBE) results for an optimized crystal structure of Pm4SiSeI2.

Values from the calculation:
As for the total energy: -5.053 eV/atom. The calculation puts the density at 6.444 Mg/m³. The calculation puts the total magnetic moment at 0.0 μB/f.u. The value obtained for the uncorrected formation energy is -1177 meV/atom. The calculated volume is 242.44 Å³ per cell.

Cell: 4.312 7.424 7.982 Å, 108.41 90.00 90.00°
Fractional coordinates of all 8 atoms:
Pm1 0.500 0.222 0.194
Pm2 0.500 0.778 0.806
Pm3 0.000 0.258 0.807
Pm4 0.000 0.742 0.193
Si1 0.000 0.000 0.000
Se1 0.500 0.500 0.000
I1 0.500 0.000 0.500
I2 0.000 0.500 0.500


# 8
DFT (PBE) results for an optimized crystal structure of Pm6Si2SeI3.

Values from the calculation:
As for the total energy: -5.074 eV/atom. The calculation puts the density at 6.297 Mg/m³. The calculation puts the total magnetic moment at 0.0 μB/f.u. The value obtained for the uncorrected formation energy is -1116 meV/atom. The calculated volume is 365.44 Å³ per cell.

Cell: 7.432 7.432 8.031 Å, 98.87 98.87 120.00°
Fractional coordinates of all 12 atoms:
Pm1 0.935 0.594 0.806
Pm2 0.723 0.723 0.194
Pm3 0.065 0.406 0.194
Pm4 0.594 0.935 0.806
Pm5 0.277 0.277 0.806
Pm6 0.406 0.065 0.194
Si1 0.333 0.667 0.000
Si2 0.667 0.333 0.000
Se1 0.000 0.000 0.000
I1 0.167 0.833 0.500
I2 0.833 0.167 0.500
I3 0.500 0.500 0.500